Entry 1:
VASP calculation (PBE) on a relaxed structure of LiPd.

Cell lengths 4.801, 2.829, 4.429 Å; angles 90.00, 110.13, 90.00 degrees
Positions (direct):
1 Li 0.000 0.000 0.000
2 Li 0.500 0.500 0.000
3 Pd 0.000 0.500 0.500
4 Pd 0.500 0.000 0.500

Entry 2:
VASP calculation (PBE) on a relaxed structure of LiPd.

Cell lengths 9.859, 9.859, 2.760 Å; angles 90.00, 90.00, 90.00 degrees
Positions (direct):
1 Li 0.123 0.811 0.000
2 Li 0.189 0.123 0.000
3 Li 0.311 0.377 0.500
4 Li 0.377 0.689 0.500
5 Li 0.623 0.311 0.500
6 Li 0.689 0.623 0.500
7 Li 0.811 0.877 0.000
8 Li 0.877 0.189 0.000
9 Pd 0.081 0.349 0.000
10 Pd 0.151 0.581 0.500
11 Pd 0.349 0.919 0.000
12 Pd 0.419 0.151 0.500
13 Pd 0.581 0.849 0.500
14 Pd 0.651 0.081 0.000
15 Pd 0.849 0.419 0.500
16 Pd 0.919 0.651 0.000

Entry 3:
VASP calculation (PBE) on a relaxed structure of Li3Pd.

Values from the calculation:
As for the relative energy among the computed polymorphs: 0.025 eV per atom.

Cell lengths 3.093, 8.712, 4.390 Å; angles 90.00, 90.00, 90.00 degrees
Positions (direct):
1 Li 0.000 0.000 0.000
2 Li 0.000 0.242 0.502
3 Li 0.000 0.758 0.502
4 Li 0.500 0.258 0.002
5 Li 0.500 0.500 0.500
6 Li 0.500 0.742 0.002
7 Pd 0.000 0.500 0.000
8 Pd 0.500 0.000 0.500

Entry 4:
VASP calculation (PBE) on a relaxed structure of LiPd.

Cell lengths 4.867, 4.867, 4.867 Å; angles 90.00, 90.00, 90.00 degrees
Positions (direct):
1 Li 0.000 0.000 0.000
2 Li 0.000 0.500 0.500
3 Li 0.500 0.000 0.500
4 Li 0.500 0.500 0.000
5 Pd 0.000 0.000 0.500
6 Pd 0.000 0.500 0.000
7 Pd 0.500 0.000 0.000
8 Pd 0.500 0.500 0.500

Entry 5:
VASP calculation (PBE) on a relaxed structure of LiPd.

Cell lengths 9.506, 8.015, 5.463 Å; angles 87.57, 57.39, 35.04 degrees
Positions (direct):
1 Li 0.002 0.748 0.002
2 Li 0.252 0.998 0.252
3 Li 0.748 0.002 0.748
4 Li 0.998 0.252 0.998
5 Pd 0.256 0.256 0.494
6 Pd 0.494 0.494 0.256
7 Pd 0.506 0.506 0.744
8 Pd 0.744 0.744 0.506

Entry 6:
VASP calculation (PBE) on a relaxed structure of LiPd.

Cell lengths 9.182, 9.182, 2.744 Å; angles 90.00, 90.00, 120.00 degrees
Positions (direct):
1 Li 0.065 0.317 0.250
2 Li 0.252 0.935 0.250
3 Li 0.317 0.252 0.750
4 Li 0.683 0.748 0.250
5 Li 0.748 0.065 0.750
6 Li 0.935 0.683 0.750
7 Pd 0.141 0.620 0.250
8 Pd 0.380 0.521 0.250
9 Pd 0.479 0.859 0.250
10 Pd 0.521 0.141 0.750
11 Pd 0.620 0.479 0.750
12 Pd 0.859 0.380 0.750

Entry 7:
VASP calculation (PBE) on a relaxed structure of LiPd.

Cell lengths 7.481, 7.481, 4.084 Å; angles 90.00, 90.00, 90.00 degrees
Positions (direct):
1 Li 0.166 0.166 0.000
2 Li 0.166 0.834 0.000
3 Li 0.334 0.334 0.500
4 Li 0.334 0.666 0.500
5 Li 0.666 0.334 0.500
6 Li 0.666 0.666 0.500
7 Li 0.834 0.166 0.000
8 Li 0.834 0.834 0.000
9 Pd 0.000 0.310 0.500
10 Pd 0.000 0.690 0.500
11 Pd 0.190 0.500 0.000
12 Pd 0.310 0.000 0.500
13 Pd 0.500 0.190 0.000
14 Pd 0.500 0.810 0.000
15 Pd 0.690 0.000 0.500
16 Pd 0.810 0.500 0.000

Entry 8:
VASP calculation (PBE) on a relaxed structure of LiPd.

Cell lengths 2.794, 2.794, 4.184 Å; angles 90.00, 90.00, 120.00 degrees
Positions (direct):
1 Li 0.000 0.000 0.000
2 Pd 0.333 0.667 0.500

Entry 9:
VASP calculation (PBE) on a relaxed structure of Li7Pd3.

Cell lengths 6.883, 6.883, 5.308 Å; angles 104.95, 104.95, 36.45 degrees
Positions (direct):
1 Li 0.000 0.000 0.000
2 Li 0.201 0.201 0.777
3 Li 0.389 0.389 0.103
4 Li 0.395 0.395 0.594
5 Li 0.605 0.605 0.406
6 Li 0.611 0.611 0.897
7 Li 0.799 0.799 0.223
8 Pd 0.000 0.000 0.500
9 Pd 0.194 0.194 0.287
10 Pd 0.806 0.806 0.713

Entry 10:
VASP calculation (PBE) on a relaxed structure of Li3Pd4.

Values from the calculation:
As for the relative energy among the computed polymorphs: 0.000 eV per atom.

Cell lengths 6.748, 6.748, 6.748 Å; angles 113.49, 113.49, 113.49 degrees
Positions (direct):
1 Li 0.049 0.633 0.767
2 Li 0.233 0.951 0.367
3 Li 0.367 0.233 0.951
4 Li 0.633 0.767 0.049
5 Li 0.767 0.049 0.633
6 Li 0.951 0.367 0.233
7 Pd 0.000 0.000 0.000
8 Pd 0.127 0.273 0.570
9 Pd 0.273 0.570 0.127
10 Pd 0.430 0.873 0.727
11 Pd 0.500 0.500 0.500
12 Pd 0.570 0.127 0.273
13 Pd 0.727 0.430 0.873
14 Pd 0.873 0.727 0.430

Entry 11:
VASP calculation (PBE) on a relaxed structure of Li13Pd2.

Cell lengths 5.167, 7.218, 7.564 Å; angles 65.03, 85.95, 84.06 degrees
Positions (direct):
1 Li 0.000 0.000 0.000
2 Li 0.142 0.493 0.742
3 Li 0.206 0.192 0.192
4 Li 0.245 0.931 0.588
5 Li 0.311 0.653 0.027
6 Li 0.351 0.397 0.428
7 Li 0.452 0.134 0.791
8 Li 0.548 0.866 0.209
9 Li 0.649 0.603 0.572
10 Li 0.689 0.347 0.973
11 Li 0.755 0.069 0.412
12 Li 0.794 0.808 0.808
13 Li 0.858 0.507 0.258
14 Pd 0.081 0.762 0.366
15 Pd 0.919 0.238 0.634

Entry 12:
VASP calculation (PBE) on a relaxed structure of Li3Pd.

Values from the calculation:
As for the relative energy among the computed polymorphs: 0.034 eV per atom.

Cell lengths 3.890, 3.890, 3.890 Å; angles 90.00, 90.00, 90.00 degrees
Positions (direct):
1 Li 0.000 0.000 0.500
2 Li 0.000 0.500 0.000
3 Li 0.500 0.000 0.000
4 Pd 0.500 0.500 0.500

Entry 13:
VASP calculation (PBE) on a relaxed structure of LiPd.

Cell lengths 4.144, 4.144, 4.811 Å; angles 90.00, 90.00, 120.00 degrees
Positions (direct):
1 Li 0.333 0.667 0.250
2 Li 0.667 0.333 0.750
3 Pd 0.333 0.667 0.750
4 Pd 0.667 0.333 0.250

Entry 14:
VASP calculation (PBE) on a relaxed structure of Li15Pd4.

Cell lengths 9.192, 9.192, 9.192 Å; angles 109.47, 109.47, 109.47 degrees
Positions (direct):
1 Li 0.038 0.617 0.342
2 Li 0.080 0.305 0.962
3 Li 0.117 0.538 0.842
4 Li 0.125 0.875 0.250
5 Li 0.158 0.775 0.695
6 Li 0.195 0.275 0.658
7 Li 0.225 0.420 0.383
8 Li 0.250 0.125 0.875
9 Li 0.275 0.658 0.195
10 Li 0.305 0.962 0.080
11 Li 0.342 0.038 0.617
12 Li 0.375 0.625 0.750
13 Li 0.383 0.225 0.420
14 Li 0.420 0.383 0.225
15 Li 0.462 0.805 0.580
16 Li 0.538 0.842 0.117
17 Li 0.580 0.462 0.805
18 Li 0.617 0.342 0.038
19 Li 0.625 0.750 0.375
20 Li 0.658 0.195 0.275
21 Li 0.695 0.158 0.775
22 Li 0.725 0.883 0.920
23 Li 0.750 0.375 0.625
24 Li 0.775 0.695 0.158
25 Li 0.805 0.580 0.462
26 Li 0.842 0.117 0.538
27 Li 0.875 0.250 0.125
28 Li 0.883 0.920 0.725
29 Li 0.920 0.725 0.883
30 Li 0.962 0.080 0.305
31 Pd 0.000 0.411 0.500
32 Pd 0.000 0.911 0.500
33 Pd 0.089 0.089 0.089
34 Pd 0.411 0.500 0.000
35 Pd 0.500 0.000 0.411
36 Pd 0.500 0.000 0.911
37 Pd 0.589 0.589 0.589
38 Pd 0.911 0.500 0.000

Entry 15:
VASP calculation (PBE) on a relaxed structure of LiPd5.

Values from the calculation:
As for the relative energy among the computed polymorphs: 0.025 eV per atom.

Cell lengths 4.547, 2.751, 14.368 Å; angles 90.00, 90.00, 90.00 degrees
Positions (direct):
1 Li 0.000 0.000 0.000
2 Li 0.000 0.500 0.500
3 Pd 0.000 0.000 0.338
4 Pd 0.000 0.000 0.662
5 Pd 0.000 0.500 0.162
6 Pd 0.000 0.500 0.838
7 Pd 0.500 0.000 0.109
8 Pd 0.500 0.000 0.446
9 Pd 0.500 0.000 0.778
10 Pd 0.500 0.500 0.278
11 Pd 0.500 0.500 0.609
12 Pd 0.500 0.500 0.946

Entry 16:
VASP calculation (PBE) on a relaxed structure of Li6Pd.

Values from the calculation:
As for the relative energy among the computed polymorphs: 0.000 eV per atom.

Cell lengths 7.060, 7.060, 7.060 Å; angles 37.23, 37.23, 37.23 degrees
Positions (direct):
1 Li 0.079 0.079 0.079
2 Li 0.211 0.211 0.211
3 Li 0.365 0.365 0.365
4 Li 0.635 0.635 0.635
5 Li 0.789 0.789 0.789
6 Li 0.921 0.921 0.921
7 Pd 0.500 0.500 0.500

Entry 17:
VASP calculation (PBE) on a relaxed structure of Li6Pd.

Values from the calculation:
As for the relative energy among the computed polymorphs: 0.717 eV per atom.

Cell lengths 6.251, 6.251, 6.251 Å; angles 90.00, 90.00, 90.00 degrees
Positions (direct):
1 Li 0.000 0.250 0.500
2 Li 0.000 0.500 0.250
3 Li 0.000 0.500 0.750
4 Li 0.000 0.750 0.500
5 Li 0.250 0.000 0.500
6 Li 0.250 0.500 0.000
7 Li 0.500 0.000 0.250
8 Li 0.500 0.000 0.750
9 Li 0.500 0.250 0.000
10 Li 0.500 0.750 0.000
11 Li 0.750 0.000 0.500
12 Li 0.750 0.500 0.000
13 Pd 0.000 0.000 0.000
14 Pd 0.500 0.500 0.500

Entry 18:
VASP calculation (PBE) on a relaxed structure of Li5Pd6.

Cell lengths 7.133, 7.133, 7.133 Å; angles 146.13, 130.26, 61.54 degrees
Positions (direct):
1 Li 0.000 0.000 0.000
2 Li 0.164 0.664 0.500
3 Li 0.324 0.324 0.000
4 Li 0.676 0.676 0.000
5 Li 0.836 0.336 0.500
6 Pd 0.101 0.840 0.261
7 Pd 0.268 0.500 0.768
8 Pd 0.421 0.160 0.261
9 Pd 0.579 0.840 0.739
10 Pd 0.732 0.500 0.232
11 Pd 0.899 0.160 0.739

Entry 19:
VASP calculation (PBE) on a relaxed structure of LiPd.

Cell lengths 5.375, 5.375, 5.375 Å; angles 90.00, 90.00, 90.00 degrees
Positions (direct):
1 Li 0.000 0.000 0.000
2 Li 0.000 0.500 0.500
3 Li 0.500 0.000 0.500
4 Li 0.500 0.500 0.000
5 Pd 0.250 0.250 0.750
6 Pd 0.250 0.750 0.250
7 Pd 0.750 0.250 0.250
8 Pd 0.750 0.750 0.750

Entry 20:
VASP calculation (PBE) on a relaxed structure of Li2Pd.

Values from the calculation:
As for the relative energy among the computed polymorphs: 0.029 eV per atom.

Cell lengths 3.065, 3.065, 9.158 Å; angles 90.00, 90.00, 90.00 degrees
Positions (direct):
1 Li 0.000 0.000 0.155
2 Li 0.000 0.000 0.845
3 Li 0.500 0.500 0.345
4 Li 0.500 0.500 0.655
5 Pd 0.000 0.000 0.500
6 Pd 0.500 0.500 0.000

Entry 21:
VASP calculation (PBE) on a relaxed structure of Li5Pd.

Values from the calculation:
As for the relative energy among the computed polymorphs: 0.000 eV per atom.

Cell lengths 8.712, 4.154, 5.550 Å; angles 90.00, 106.05, 90.00 degrees
Positions (direct):
1 Li 0.000 0.000 0.000
2 Li 0.148 0.500 0.800
3 Li 0.174 0.500 0.344
4 Li 0.326 0.000 0.656
5 Li 0.352 0.000 0.200
6 Li 0.500 0.500 0.000
7 Li 0.648 0.000 0.800
8 Li 0.674 0.000 0.344
9 Li 0.826 0.500 0.656
10 Li 0.852 0.500 0.200
11 Pd 0.000 0.000 0.500
12 Pd 0.500 0.500 0.500

no.,size of the total moment (μB/f.u.),formation enthalpy at 0 K (eV/atom),E (eV per atom)
1,0.00,-0.43,-3.980
2,0.00,-0.20,-3.754
3,0.00,-0.28,-3.010
4,0.00,-0.06,-3.618
5,0.00,-0.38,-3.937
6,0.00,-0.17,-3.720
7,0.00,-0.24,-3.796
8,0.00,-0.42,-3.975
9,0.00,-0.33,-3.224
10,0.00,-0.37,-4.153
11,0.00,-0.15,-2.501
12,0.00,-0.27,-3.000
13,0.00,0.24,-3.313
14,0.00,-0.26,-2.867
15,0.00,-0.14,-4.790
16,0.00,-0.16,-2.542
17,0.77,0.56,-1.825
18,0.00,-0.30,-4.003
19,0.00,0.50,-3.051
20,0.00,-0.36,-3.363
21,0.00,-0.19,-2.652